#w
A plane-wave DFT calculation with PBE-GGA was carried out for a relaxed Mg3Ga2Hg2 crystal.

Properties
The calculated volume is 289.0 Å³ per cell. The value obtained for the total magnetic moment is 0.00 μB/f.u.

a = 4.1095 Å, b = 21.3629 Å, c = 3.2917 Å
α = 90.00°, β = 90.00°, γ = 90.00°
Fractional positions:
Mg1 0.0000 0.0000 0.0000
Mg2 0.0000 0.1534 0.0000
Mg3 0.0000 0.8466 0.0000
Mg4 0.5000 0.3466 0.0000
Mg5 0.5000 0.5000 0.0000
Mg6 0.5000 0.6534 0.0000
Ga1 0.0000 0.2856 0.5000
Ga2 0.0000 0.7144 0.5000
Ga3 0.5000 0.2144 0.5000
Ga4 0.5000 0.7856 0.5000
Hg1 0.0000 0.4237 0.5000
Hg2 0.0000 0.5763 0.5000
Hg3 0.5000 0.0763 0.5000
Hg4 0.5000 0.9237 0.5000



#x
A plane-wave DFT calculation with PBE-GGA was carried out for a relaxed Mg3Ga2Hg2 crystal.

Properties
The calculated volume is 292.7 Å³ per cell. The value obtained for the total magnetic moment is 0.00 μB/f.u.

a = 3.3304 Å, b = 4.6734 Å, c = 18.8045 Å
α = 90.00°, β = 90.00°, γ = 90.00°
Fractional positions:
Mg1 0.0000 0.0000 0.0000
Mg2 0.0000 0.5000 0.1986
Mg3 0.0000 0.5000 0.8014
Mg4 0.5000 0.0000 0.3014
Mg5 0.5000 0.0000 0.6986
Mg6 0.5000 0.5000 0.5000
Ga1 0.0000 0.0000 0.4331
Ga2 0.0000 0.0000 0.5669
Ga3 0.5000 0.5000 0.0669
Ga4 0.5000 0.5000 0.9331
Hg1 0.0000 0.5000 0.3503
Hg2 0.0000 0.5000 0.6497
Hg3 0.5000 0.0000 0.1497
Hg4 0.5000 0.0000 0.8503



Which one is most stable, and which one is least stable? #w is the most stable of them, while #x is the least stable.